A geometry-optimized Rb2Ho3Se6 structure, computed with GGA-PBE.

Results
SG = C2/m
Crystal system = monoclinic
Energy relative to the elements, uncorrected = -1.643 eV/atom
Total magnetic moment = 0.0 Bohr magnetons per cell

Cell lengths 7.1414, 7.1414, 8.6031 Å; angles 97.95, 97.95, 120.01 degrees
With the nearest neighbours (Å) after each atom.
Atoms (fractional coordinates):
1 Rb 0.1667 0.8333 0.0000  6 Se 3.48
2 Rb 0.8333 0.1667 0.0000  6 Se 3.48
3 Ho 0.0000 0.0000 0.5000  6 Se 2.86-2.87
4 Ho 0.3334 0.6666 0.5000  6 Se 2.86-2.87
5 Ho 0.6666 0.3334 0.5000  6 Se 2.86-2.87
6 Se 0.0647 0.3976 0.6928  3 Ho 2.86-2.87
7 Se 0.2695 0.2695 0.3072  3 Ho 2.86-2.87
8 Se 0.3976 0.0647 0.6928  3 Ho 2.86-2.87
9 Se 0.6024 0.9353 0.3072  3 Ho 2.86-2.87
10 Se 0.7305 0.7305 0.6928  3 Ho 2.86-2.87
11 Se 0.9353 0.6024 0.3072  3 Ho 2.86-2.87

---

A geometry-optimized NdAlGaCu2 structure, computed with GGA-PBE.

Results
SG = Imm2
Total energy = -4.33 eV/atom
Crystal system = orthorhombic
Total magnetic moment = 0.0 Bohr magnetons per cell

Cell lengths 4.1474, 4.1862, 10.5290 Å; angles 90.00, 90.00, 90.00 degrees
With the nearest neighbours (Å) after each atom.
Atoms (fractional coordinates):
1 Nd 0.0000 0.0000 0.0000  4 Ga 3.17, 8 Cu 3.20-3.37, 4 Al 3.32-3.40
2 Nd 0.5000 0.5000 0.5000  4 Ga 3.17, 8 Cu 3.20-3.37, 4 Al 3.32-3.40
3 Al 0.0000 0.5000 0.7556  2 Cu 2.46, 2 Ga 2.59
4 Al 0.5000 0.0000 0.2556  2 Cu 2.46, 2 Ga 2.59
5 Ga 0.0000 0.0000 0.6112  3 Cu 2.43-2.53, 2 Al 2.59
6 Ga 0.5000 0.5000 0.1112  3 Cu 2.43-2.53, 2 Al 2.59
7 Cu 0.0000 0.0000 0.3805  1 Ga 2.43, 2 Al 2.46, 2 Cu 2.51
8 Cu 0.0000 0.5000 0.2482  2 Cu 2.51, 2 Ga 2.53
9 Cu 0.5000 0.0000 0.7482  2 Cu 2.51, 2 Ga 2.53
10 Cu 0.5000 0.5000 0.8805  1 Ga 2.43, 2 Al 2.46, 2 Cu 2.51

---

A geometry-optimized Dy3ScC2 structure, computed with GGA-PBE.

Results
SG = C2/m
Total energy = -6.74 eV/atom
Crystal system = monoclinic
Total magnetic moment = 1.5 Bohr magnetons per cell

Cell lengths 8.0328, 8.0328, 12.2076 Å; angles 128.42, 128.42, 25.43 degrees
With the nearest neighbours (Å) after each atom.
Atoms (fractional coordinates):
1 Dy 0.1361 0.1361 0.4521  3 C 2.44-2.52
2 Dy 0.1384 0.1384 0.9482  3 C 2.43-2.50
3 Dy 0.3623 0.3623 0.7998  3 C 2.44-2.45
4 Dy 0.6377 0.6377 0.2002  3 C 2.44-2.45
5 Dy 0.8616 0.8616 0.0518  3 C 2.43-2.50
6 Dy 0.8639 0.8639 0.5479  3 C 2.44-2.52
7 Sc 0.3476 0.3476 0.2891  3 C 2.31-2.32
8 Sc 0.6524 0.6524 0.7109  3 C 2.31-2.32
9 C 0.2464 0.2464 0.8685  2 Sc 2.32, 4 Dy 2.43-2.50
10 C 0.2517 0.2517 0.3746  1 Sc 2.31, 5 Dy 2.44-2.52
11 C 0.7483 0.7483 0.6254  1 Sc 2.31, 5 Dy 2.44-2.52
12 C 0.7536 0.7536 0.1315  2 Sc 2.32, 4 Dy 2.43-2.50

---

A geometry-optimized Tm3Co2CuSi6 structure, computed with GGA-PBE.

Results
SG = P-3m1
Crystal system = trigonal
Energy relative to the elements, uncorrected = -0.265 eV/atom
Total magnetic moment = 0.0 Bohr magnetons per cell

Cell lengths 5.2121, 5.2121, 8.7482 Å; angles 90.00, 90.00, 120.00 degrees
With the nearest neighbours (Å) after each atom.
Atoms (fractional coordinates):
1 Tm 0.0000 0.0000 0.0000  6 Si 2.84, 6 Co 3.08
2 Tm 0.3333 0.6667 0.5778  9 Si 2.92-3.05, 3 Cu 3.09
3 Tm 0.6667 0.3333 0.4222  9 Si 2.92-3.05, 3 Cu 3.09
4 Co 0.3333 0.6667 0.0735  3 Si 2.28
5 Co 0.6667 0.3333 0.9265  3 Si 2.28
6 Cu 0.0000 0.0000 0.5000  6 Si 2.51
7 Si 0.1698 0.3397 0.2727  1 Co 2.28, 1 Cu 2.51, 2 Si 2.56
8 Si 0.1698 0.8302 0.2727  1 Co 2.28, 1 Cu 2.51, 2 Si 2.56
9 Si 0.3397 0.1698 0.7273  1 Co 2.28, 1 Cu 2.51, 2 Si 2.56
10 Si 0.6603 0.8302 0.2727  1 Co 2.28, 1 Cu 2.51, 2 Si 2.56
11 Si 0.8302 0.1698 0.7273  1 Co 2.28, 1 Cu 2.51, 2 Si 2.56
12 Si 0.8302 0.6603 0.7273  1 Co 2.28, 1 Cu 2.51, 2 Si 2.56

---

A geometry-optimized Ca2Pb structure, computed with GGA-PBE.

Results
SG = P4/mmm
Total energy = -2.93 eV/atom
Crystal system = tetragonal
Total magnetic moment = 0.0 Bohr magnetons per cell

Cell lengths 5.4513, 5.4513, 3.7549 Å; angles 90.00, 90.00, 90.00 degrees
With the nearest neighbours (Å) after each atom.
Atoms (fractional coordinates):
1 Ca 0.0000 0.5000 0.0000  4 Pb 3.31
2 Ca 0.5000 0.0000 0.0000  4 Pb 3.31
3 Pb 0.0000 0.0000 0.5000  8 Ca 3.31

---

A geometry-optimized CaSm5Cd4 structure, computed with GGA-PBE.

Results
SG = P4/mmm
Total energy = -3.15 eV/atom
Crystal system = tetragonal
Total magnetic moment = 1.2 Bohr magnetons per cell

Cell lengths 3.8489, 3.8489, 20.0797 Å; angles 90.00, 90.00, 90.00 degrees
With the nearest neighbours (Å) after each atom.
Atoms (fractional coordinates):
1 Ca 0.0000 0.0000 0.0000  8 Sm 3.77, 4 Ca 3.85
2 Sm 0.5000 0.5000 0.1299  4 Cd 3.25
3 Sm 0.5000 0.5000 0.3134  8 Cd 3.30-3.32, 1 Sm 3.68
4 Sm 0.5000 0.5000 0.5000  8 Cd 3.31
5 Sm 0.5000 0.5000 0.6866  8 Cd 3.30-3.32, 1 Sm 3.68
6 Sm 0.5000 0.5000 0.8701  4 Cd 3.25
7 Cd 0.0000 0.0000 0.2184  8 Sm 3.25-3.32
8 Cd 0.0000 0.0000 0.4063  8 Sm 3.30-3.31
9 Cd 0.0000 0.0000 0.5937  8 Sm 3.30-3.31
10 Cd 0.0000 0.0000 0.7816  8 Sm 3.25-3.32

---

A geometry-optimized TbPr3Er2 structure, computed with GGA-PBE.

Results
SG = Imma
Crystal system = orthorhombic
Distance to the lowest polymorph of the same formula = 0.000 eV/atom
Total magnetic moment = 0.0 Bohr magnetons per cell

Cell lengths 8.7940, 8.7940, 8.7940 Å; angles 98.44, 96.95, 137.07 degrees
With the nearest neighbours (Å) after each atom.
Atoms (fractional coordinates):
1 Tb 0.4512 0.2012 0.2500  4 Er 3.60-3.77, 4 Pr 4.01
2 Tb 0.5488 0.7988 0.7500  4 Er 3.60-3.77, 4 Pr 4.01
3 Pr 0.0000 0.0000 0.5000  4 Pr 3.36, 4 Er 3.41
4 Pr 0.0000 0.2118 0.2118  4 Pr 3.34-3.36, 4 Er 3.35-3.69
5 Pr 0.0000 0.5000 0.0000  4 Pr 3.36, 4 Er 3.41
6 Pr 0.0000 0.7882 0.7882  4 Pr 3.34-3.36, 4 Er 3.35-3.69
7 Pr 0.5000 0.2118 0.7118  4 Pr 3.34-3.36, 4 Er 3.35-3.69
8 Pr 0.5000 0.7882 0.2882  4 Pr 3.34-3.36, 4 Er 3.35-3.69
9 Er 0.0904 0.6861 0.4043  2 Er 3.27-3.60, 4 Pr 3.35-3.41, 1 Tb 3.60
10 Er 0.2182 0.3139 0.9043  2 Er 3.27-3.60, 4 Pr 3.35-3.41, 1 Tb 3.60
11 Er 0.7818 0.6861 0.0957  2 Er 3.27-3.60, 4 Pr 3.35-3.41, 1 Tb 3.60
12 Er 0.9096 0.3139 0.5957  2 Er 3.27-3.60, 4 Pr 3.35-3.41, 1 Tb 3.60

---

A geometry-optimized CoSe2 structure, computed with GGA-PBE.

Results
SG = Fd-3m
Crystal system = cubic
Energy relative to the elements, uncorrected = -0.259 eV/atom
Total magnetic moment = 0.0 Bohr magnetons per cell

Cell lengths 6.9153, 6.9153, 6.9153 Å; angles 60.00, 60.00, 60.00 degrees
With the nearest neighbours (Å) after each atom.
Atoms (fractional coordinates):
1 Co 0.0000 0.0000 0.0000  6 Se 2.37
2 Co 0.0000 0.0000 0.5000  6 Se 2.37
3 Co 0.0000 0.5000 0.0000  6 Se 2.37
4 Co 0.5000 0.0000 0.0000  6 Se 2.37
5 Se 0.2263 0.7579 0.7579  3 Co 2.37
6 Se 0.2421 0.2421 0.2421  3 Co 2.37
7 Se 0.2421 0.2421 0.7737  3 Co 2.37
8 Se 0.2421 0.7737 0.2421  3 Co 2.37
9 Se 0.7579 0.2263 0.7579  3 Co 2.37
10 Se 0.7579 0.7579 0.2263  3 Co 2.37
11 Se 0.7579 0.7579 0.7579  3 Co 2.37
12 Se 0.7737 0.2421 0.2421  3 Co 2.37